PBE+U VGaBi2O6, relaxed; uncorrected energy = -6.3607 eV per atom; crystal system = monoclinic; volume = 123 Å³/f.u.
1.0
-5.4313 0.5286 -0.2970
-0.4986 -2.1444 5.3022
0.5465 7.2357 2.9777
V Ga Bi O
2 2 4 12
direct
0.5000 0.0000 0.5000
0.0000 0.5000 0.0000
0.5000 0.0000 0.0000
0.0000 0.5000 0.5000
0.0109 0.9510 0.2465
0.5109 0.5490 0.7465
0.9891 0.0490 0.7535
0.4891 0.4510 0.2535
0.3043 0.7058 0.0503
0.8043 0.7942 0.5503
0.6957 0.2942 0.9497
0.1957 0.2058 0.4497
0.3060 0.6939 0.4581
0.8060 0.8061 0.9581
0.6940 0.3061 0.5419
0.1940 0.1939 0.0419
0.9049 0.5299 0.2519
0.4049 0.9701 0.7519
0.0951 0.4701 0.7481
0.5951 0.0299 0.2481